Entry from the Alexandria database: a geometry-optimized CoSnIO2 structure (PBE with a Hubbard U).

Computed properties:
Excess energy over the best structure of this formula in the dataset   345 meV/atom

Unit cell a=4.1921 b=4.1921 c=5.0983 alpha=90.00 beta=90.00 gamma=90.00
Closest atoms and distances in Å follow each position.
Fractional positions:
Co 0.0000 0.0000 0.0000  4 O 2.10
Sn 0.5000 0.5000 0.5000  4 I 2.96, 8 O 3.30
I 0.0000 0.0000 0.5000  2 Co 2.55
O 0.0000 0.5000 0.0000  2 Co 2.10
O 0.5000 0.0000 0.0000  2 Co 2.10